The following is a DFT calculation (GGA+U) of a relaxed RbCuMoF6 crystal.

## Properties
The electronic total energy comes out at -4.891 eV per atom.

a b c (Å): 7.7381 7.4035 7.6314
angles (deg): 119.02 120.46 90.00
Each line ends with the local moment (μB).
Positions (direct):
F: 0.4409 0.0985 0.2653  0.05
Rb: 0.8257 0.5757 0.6513  0.00
F: 0.8303 0.0803 0.6607  0.03
F: 0.8244 0.0985 0.2653  0.05
Cu: 0.5000 0.0000 0.0000  0.77
Mo: 0.5000 0.0000 0.5000  2.80
F: 0.8244 0.6668 0.2653  0.05
F: 0.5591 0.3332 0.7347  0.05
F: 0.1756 0.9015 0.7347  0.05
Cu: 0.5000 0.5000 0.0000  0.77
Mo: 0.0000 0.0000 0.5000  2.80
F: 0.4409 0.6668 0.2653  0.05
F: 0.4503 0.7003 0.9006  0.10
F: 0.5591 0.9015 0.7347  0.05
F: 0.5497 0.2997 0.0994  0.10
Rb: 0.1743 0.4243 0.3487  0.00
F: 0.1756 0.3332 0.7347  0.05
F: 0.1697 0.9197 0.3393  0.03